(1)
{
  "formula": "Tb2Mg2Os",
  "functional": "PBE",
  "state": "relaxed",
  "delta_e_f_ev_per_atom": -0.166,
  "lattice_angstrom": [[-1.713, 1.713, 10.322], [1.713, -1.713, 10.322], [1.713, 1.713, -10.322]],
  "species": ["Tb", "Tb", "Mg", "Mg", "Os"],
  "fractional_positions": [[0.081, 0.081, 0.000], [0.919, 0.919, 0.000], [0.297, 0.297, 0.000], [0.703, 0.703, 0.000], [0.500, 0.500, 0.000]]
}


(2)
{
  "formula": "Tb4MgOs",
  "functional": "PBE",
  "state": "relaxed",
  "delta_e_f_ev_per_atom": 0.185,
  "de_polymorph_mev_per_atom": 367,
  "lattice_angstrom": [[-5.136, 5.136, 3.775], [5.136, -5.136, 3.775], [5.136, 5.136, -3.775]],
  "species": ["Tb", "Tb", "Tb", "Tb", "Tb", "Tb", "Tb", "Tb", "Mg", "Mg", "Os", "Os"],
  "fractional_positions": [[0.147, 0.464, 0.683], [0.214, 0.031, 0.817], [0.214, 0.397, 0.183], [0.256, 0.000, 0.256], [0.744, 0.000, 0.744], [0.750, 0.506, 0.756], [0.750, 0.994, 0.244], [0.781, 0.464, 0.317], [0.299, 0.799, 0.500], [0.549, 0.549, 0.000], [0.687, 0.187, 0.500], [0.937, 0.937, 0.000]]
}


(3)
{
  "formula": "Tb2MgOs",
  "functional": "PBE",
  "state": "relaxed",
  "delta_e_f_ev_per_atom": -0.179,
  "lattice_angstrom": [[3.425, 0.000, 0.000], [0.000, 3.425, 0.000], [0.000, 0.000, 8.389]],
  "species": ["Tb", "Tb", "Mg", "Os"],
  "fractional_positions": [[0.000, 0.000, 0.199], [0.000, 0.000, 0.801], [0.500, 0.500, 0.500], [0.500, 0.500, 0.000]]
}


(4)
{
  "formula": "Tb2MgOs",
  "functional": "PBE",
  "state": "relaxed",
  "delta_e_f_ev_per_atom": 0.261,
  "lattice_angstrom": [[1.960, 1.132, 10.058], [-1.960, 1.132, 10.058], [0.000, -2.263, 10.058]],
  "species": ["Tb", "Tb", "Mg", "Os"],
  "fractional_positions": [[0.116, 0.116, 0.116], [0.884, 0.884, 0.884], [0.000, 0.000, 0.000], [0.500, 0.500, 0.500]]
}


(5)
{
  "formula": "Tb8Mg2Os",
  "functional": "PBE",
  "state": "relaxed",
  "delta_e_f_ev_per_atom": -0.047,
  "lattice_angstrom": [[8.771, -2.732, 0.000], [8.771, 2.732, 0.000], [-2.522, 0.000, 6.608]],
  "species": ["Tb", "Tb", "Tb", "Tb", "Tb", "Tb", "Tb", "Tb", "Mg", "Mg", "Os"],
  "fractional_positions": [[0.015, 0.015, 0.283], [0.193, 0.193, 0.756], [0.354, 0.354, 0.570], [0.400, 0.400, 0.095], [0.600, 0.600, 0.905], [0.646, 0.646, 0.430], [0.807, 0.807, 0.244], [0.985, 0.985, 0.717], [0.184, 0.184, 0.193], [0.816, 0.816, 0.807], [0.500, 0.500, 0.500]]
}


(6)
{
  "formula": "TbTmMgOs",
  "functional": "PBE",
  "state": "relaxed",
  "delta_e_f_ev_per_atom": -0.159,
  "de_polymorph_mev_per_atom": 64,
  "lattice_angstrom": [[0.000, 3.516, 3.516], [3.516, 0.000, 3.516], [3.516, 3.516, 0.000]],
  "species": ["Tb", "Tm", "Mg", "Os"],
  "fractional_positions": [[0.000, 0.000, 0.000], [0.500, 0.500, 0.500], [0.750, 0.750, 0.750], [0.250, 0.250, 0.250]]
}


(7)
{
  "formula": "TbTmMgOs",
  "functional": "PBE",
  "state": "relaxed",
  "delta_e_f_ev_per_atom": -0.222,
  "de_polymorph_mev_per_atom": 0,
  "lattice_angstrom": [[3.390, 0.000, 0.000], [0.000, 3.390, 0.000], [0.000, 0.000, 8.433]],
  "species": ["Tb", "Tm", "Mg", "Os"],
  "fractional_positions": [[0.000, 0.000, 0.000], [0.000, 0.000, 0.609], [0.500, 0.500, 0.309], [0.500, 0.500, 0.799]]
}


(8)
{
  "formula": "TbYMgOs",
  "functional": "PBE",
  "state": "relaxed",
  "delta_e_f_ev_per_atom": -0.130,
  "de_polymorph_mev_per_atom": 48,
  "lattice_angstrom": [[0.000, 3.544, 3.544], [3.544, 0.000, 3.544], [3.544, 3.544, 0.000]],
  "species": ["Tb", "Y", "Mg", "Os"],
  "fractional_positions": [[0.000, 0.000, 0.000], [0.500, 0.500, 0.500], [0.250, 0.250, 0.250], [0.750, 0.750, 0.750]]
}


(9)
{
  "formula": "TbYMgOs",
  "functional": "PBE",
  "state": "relaxed",
  "delta_e_f_ev_per_atom": -0.178,
  "de_polymorph_mev_per_atom": 0,
  "lattice_angstrom": [[3.452, 0.000, 0.000], [0.000, 3.452, 0.000], [0.000, 0.000, 8.154]],
  "species": ["Tb", "Y", "Mg", "Os"],
  "fractional_positions": [[0.000, 0.000, 0.000], [0.000, 0.000, 0.406], [0.500, 0.500, 0.702], [0.500, 0.500, 0.202]]
}


(10)
{
  "formula": "Tb4MgZn2Os",
  "functional": "PBE",
  "state": "relaxed",
  "delta_e_f_ev_per_atom": -0.273,
  "lattice_angstrom": [[2.535, 1.464, 8.325], [-2.535, 1.464, 8.325], [0.000, -2.927, 8.325]],
  "species": ["Tb", "Tb", "Tb", "Tb", "Mg", "Zn", "Zn", "Os"],
  "fractional_positions": [[0.114, 0.114, 0.114], [0.367, 0.367, 0.367], [0.633, 0.633, 0.633], [0.886, 0.886, 0.886], [0.500, 0.500, 0.500], [0.240, 0.240, 0.240], [0.760, 0.760, 0.760], [0.000, 0.000, 0.000]]
}


(11)
{
  "formula": "MgTcOs4",
  "functional": "PBE",
  "state": "relaxed",
  "delta_e_f_ev_per_atom": 0.498,
  "lattice_angstrom": [[0.000, 3.630, 3.630], [3.630, 0.000, 3.630], [3.630, 3.630, 0.000]],
  "species": ["Mg", "Tc", "Os", "Os", "Os", "Os"],
  "fractional_positions": [[0.000, 0.000, 0.000], [0.250, 0.250, 0.250], [0.125, 0.625, 0.625], [0.625, 0.125, 0.625], [0.625, 0.625, 0.125], [0.625, 0.625, 0.625]]
}


(12)
{
  "formula": "MgTc3Os",
  "functional": "PBE",
  "state": "relaxed",
  "delta_e_f_ev_per_atom": 1.457,
  "de_polymorph_mev_per_atom": 0,
  "lattice_angstrom": [[4.716, 0.000, 0.000], [0.000, 4.716, 0.000], [0.000, 0.000, 4.716]],
  "species": ["Mg", "Tc", "Tc", "Tc", "Os"],
  "fractional_positions": [[0.000, 0.000, 0.000], [0.000, 0.500, 0.500], [0.500, 0.000, 0.500], [0.500, 0.500, 0.000], [0.500, 0.500, 0.500]]
}


(13)
{
  "formula": "MgUTcOs",
  "functional": "PBE",
  "state": "relaxed",
  "delta_e_f_ev_per_atom": 0.026,
  "lattice_angstrom": [[0.000, 3.269, 3.269], [3.269, 0.000, 3.269], [3.269, 3.269, 0.000]],
  "species": ["Mg", "U", "Tc", "Os"],
  "fractional_positions": [[0.000, 0.000, 0.000], [0.500, 0.500, 0.500], [0.750, 0.750, 0.750], [0.250, 0.250, 0.250]]
}


(14)
{
  "formula": "MgVTcOs",
  "functional": "PBE",
  "state": "relaxed",
  "delta_e_f_ev_per_atom": 0.039,
  "lattice_angstrom": [[0.000, 3.066, 3.066], [3.066, 0.000, 3.066], [3.066, 3.066, 0.000]],
  "species": ["Mg", "V", "Tc", "Os"],
  "fractional_positions": [[0.000, 0.000, 0.000], [0.500, 0.500, 0.500], [0.750, 0.750, 0.750], [0.250, 0.250, 0.250]]
}


(15)
{
  "formula": "MgTc2OsW",
  "functional": "PBE",
  "state": "relaxed",
  "delta_e_f_ev_per_atom": 2.174,
  "lattice_angstrom": [[4.609, 0.000, 0.000], [0.000, 4.609, 0.000], [0.000, 0.000, 4.834]],
  "species": ["Mg", "Tc", "Tc", "Os", "W"],
  "fractional_positions": [[0.000, 0.000, 0.000], [0.000, 0.500, 0.500], [0.500, 0.000, 0.500], [0.500, 0.500, 0.000], [0.000, 0.000, 0.500]]
}


(16)
{
  "formula": "Mg2TcOsW",
  "functional": "PBE",
  "state": "relaxed",
  "delta_e_f_ev_per_atom": 1.464,
  "lattice_angstrom": [[4.810, 0.000, 0.000], [0.000, 4.810, 0.000], [0.000, 0.000, 4.773]],
  "species": ["Mg", "Mg", "Tc", "Os", "W"],
  "fractional_positions": [[0.000, 0.500, 0.000], [0.500, 0.000, 0.000], [0.000, 0.000, 0.500], [0.500, 0.500, 0.000], [0.500, 0.500, 0.500]]
}


(17)
{
  "formula": "Mg3TeOs",
  "functional": "PBE",
  "state": "relaxed",
  "e_form_raw_mev_per_atom": 448,
  "de_polymorph_mev_per_atom": 0,
  "lattice_angstrom": [[5.003, 0.000, 0.000], [0.000, 5.003, 0.000], [0.000, 0.000, 5.003]],
  "species": ["Mg", "Mg", "Mg", "Te", "Os"],
  "fractional_positions": [[0.000, 0.000, 0.500], [0.000, 0.500, 0.000], [0.500, 0.000, 0.000], [0.500, 0.500, 0.500], [0.000, 0.000, 0.000]]
}


(18)
{
  "formula": "MgTeOs",
  "functional": "PBE",
  "state": "relaxed",
  "e_form_raw_mev_per_atom": 626,
  "de_polymorph_mev_per_atom": 401,
  "lattice_angstrom": [[0.000, 2.692, 7.051], [1.610, 0.000, 7.051], [1.610, 2.692, 0.000]],
  "species": ["Mg", "Te", "Os"],
  "fractional_positions": [[0.000, 0.000, 0.000], [0.703, 0.703, 0.297], [0.350, 0.350, 0.650]]
}


(19)
{
  "formula": "MgTeOs",
  "functional": "PBE",
  "state": "relaxed",
  "e_form_raw_mev_per_atom": 225,
  "de_polymorph_mev_per_atom": 0,
  "lattice_angstrom": [[-1.588, 1.588, 6.160], [1.588, -1.588, 6.160], [1.588, 1.588, -6.160]],
  "species": ["Mg", "Te", "Os"],
  "fractional_positions": [[0.000, 0.000, 0.000], [0.265, 0.265, 0.000], [0.640, 0.640, 0.000]]
}


(20)
{
  "formula": "MgTeOs",
  "functional": "PBE",
  "state": "relaxed",
  "e_form_raw_mev_per_atom": 348,
  "de_polymorph_mev_per_atom": 124,
  "lattice_angstrom": [[3.293, 0.000, 0.000], [-1.647, 2.852, 0.000], [0.000, 0.000, 6.488]],
  "species": ["Mg", "Te", "Os"],
  "fractional_positions": [[0.000, 0.000, 0.000], [0.333, 0.667, 0.592], [0.667, 0.333, 0.309]]
}


(21)
{
  "formula": "MgTeOs",
  "functional": "PBE",
  "state": "relaxed",
  "e_form_raw_mev_per_atom": 247,
  "de_polymorph_mev_per_atom": 22,
  "lattice_angstrom": [[0.000, 3.143, 3.143], [3.143, 0.000, 3.143], [3.143, 3.143, 0.000]],
  "species": ["Mg", "Te", "Os"],
  "fractional_positions": [[0.000, 0.000, 0.000], [0.500, 0.500, 0.500], [0.250, 0.250, 0.250]]
}


(22)
{
  "formula": "Mg4TeOs",
  "functional": "PBE",
  "state": "relaxed",
  "e_form_raw_mev_per_atom": 428,
  "lattice_angstrom": [[0.000, 3.889, 3.889], [3.889, 0.000, 3.889], [3.889, 3.889, 0.000]],
  "species": ["Mg", "Mg", "Mg", "Mg", "Te", "Os"],
  "fractional_positions": [[0.124, 0.124, 0.124], [0.124, 0.124, 0.628], [0.124, 0.628, 0.124], [0.628, 0.124, 0.124], [0.500, 0.500, 0.500], [0.750, 0.750, 0.750]]
}


(23)
{
  "formula": "MgTeOs",
  "functional": "PBE",
  "state": "relaxed",
  "e_form_raw_mev_per_atom": 344,
  "de_polymorph_mev_per_atom": 120,
  "lattice_angstrom": [[4.500, 0.000, 0.000], [-2.250, 3.897, 0.000], [0.000, 0.000, 3.312]],
  "species": ["Mg", "Te", "Os"],
  "fractional_positions": [[0.000, 0.000, 0.000], [0.667, 0.333, 0.500], [0.333, 0.667, 0.500]]
}


(24)
{
  "formula": "MgTlTe2Os",
  "functional": "PBE",
  "state": "relaxed",
  "e_form_raw_mev_per_atom": 1678,
  "lattice_angstrom": [[5.785, 0.000, 0.000], [0.000, 5.785, 0.000], [0.000, 0.000, 5.125]],
  "species": ["Mg", "Tl", "Te", "Te", "Os"],
  "fractional_positions": [[0.000, 0.000, 0.000], [0.000, 0.000, 0.500], [0.000, 0.500, 0.500], [0.500, 0.000, 0.500], [0.500, 0.500, 0.000]]
}


(25)
{
  "formula": "MgZnTe2Os",
  "functional": "PBE",
  "state": "relaxed",
  "e_form_raw_mev_per_atom": 1377,
  "lattice_angstrom": [[5.381, 0.000, 0.000], [0.000, 5.381, 0.000], [0.000, 0.000, 4.764]],
  "species": ["Mg", "Zn", "Te", "Te", "Os"],
  "fractional_positions": [[0.000, 0.000, 0.000], [0.000, 0.000, 0.500], [0.000, 0.500, 0.000], [0.500, 0.000, 0.000], [0.500, 0.500, 0.500]]
}


(26)
{
  "formula": "Th2MgOs2",
  "functional": "PBE",
  "state": "relaxed",
  "delta_e_f_ev_per_atom": -0.234,
  "lattice_angstrom": [[-2.189, 3.058, 4.173], [2.189, -3.058, 4.173], [2.189, 3.058, -4.173]],
  "species": ["Th", "Th", "Mg", "Os", "Os"],
  "fractional_positions": [[0.200, 0.200, 0.000], [0.800, 0.800, 0.000], [0.500, 0.000, 0.500], [0.236, 0.500, 0.736], [0.764, 0.500, 0.264]]
}


(27)
{
  "formula": "Th2MgTlOs",
  "functional": "PBE",
  "state": "relaxed",
  "delta_e_f_ev_per_atom": -0.155,
  "lattice_angstrom": [[8.515, 0.000, 0.000], [0.000, 4.113, 0.000], [-2.012, 0.000, 8.297]],
  "species": ["Th", "Th", "Th", "Th", "Mg", "Mg", "Tl", "Tl", "Os", "Os"],
  "fractional_positions": [[0.007, 0.250, 0.304], [0.402, 0.750, 0.623], [0.598, 0.250, 0.377], [0.993, 0.750, 0.696], [0.340, 0.250, 0.954], [0.660, 0.750, 0.046], [0.284, 0.750, 0.189], [0.716, 0.250, 0.811], [0.198, 0.250, 0.641], [0.802, 0.750, 0.359]]
}


(28)
{
  "formula": "YThMgOs",
  "functional": "PBE",
  "state": "relaxed",
  "delta_e_f_ev_per_atom": -0.077,
  "lattice_angstrom": [[0.000, 3.613, 3.613], [3.613, 0.000, 3.613], [3.613, 3.613, 0.000]],
  "species": ["Y", "Th", "Mg", "Os"],
  "fractional_positions": [[0.000, 0.000, 0.000], [0.500, 0.500, 0.500], [0.750, 0.750, 0.750], [0.250, 0.250, 0.250]]
}


(29)
{
  "formula": "Mg3TiOs",
  "functional": "PBE",
  "state": "relaxed",
  "delta_e_f_ev_per_atom": 0.896,
  "de_polymorph_mev_per_atom": 0,
  "lattice_angstrom": [[4.884, 0.000, 0.000], [0.000, 4.884, 0.000], [0.000, 0.000, 4.884]],
  "species": ["Mg", "Mg", "Mg", "Ti", "Os"],
  "fractional_positions": [[0.000, 0.000, 0.500], [0.000, 0.500, 0.000], [0.500, 0.000, 0.000], [0.500, 0.500, 0.500], [0.000, 0.000, 0.000]]
}